No. 1
Zn2MoBr PBE relaxed; excess energy over the best structure of this formula in the dataset = 0.00 eV per formula unit; uncorrected formation energy = 0.23 eV per atom
1.0
7.133 0.039 0.000
5.128 4.958 0.000
-5.768 -3.387 2.476
Zn Br Mo
2 1 1
Cartesian
1.219 0.497 0.000
3.365 -0.581 1.238
5.143 2.096 0.000
2.895 2.096 1.238

=====

No. 2
Ba3Sr3Tl2 PBE relaxed; excess energy over the best structure of this formula in the dataset = 0.00 eV per formula unit; ΔH_f (0 K) = -0.190 eV/atom
1.0
7.014 0.000 0.000
0.000 10.368 0.000
0.000 0.000 20.906
Tl Ba Sr
8 12 12
Cartesian
0.552 9.004 18.498
2.955 3.820 12.862
4.058 6.548 2.408
2.955 3.820 18.498
6.462 1.364 8.045
4.058 6.548 8.045
0.552 9.004 12.862
6.462 1.364 2.408
2.144 6.142 15.680
6.436 5.473 18.654
5.650 9.410 5.227
4.084 0.289 12.706
2.930 10.079 2.253
1.363 0.958 15.680
0.577 4.895 2.253
0.577 4.895 8.200
6.436 5.473 12.706
2.930 10.079 8.200
4.084 0.289 18.654
4.870 4.226 5.227
1.358 1.999 5.227
0.582 1.771 20.023
6.432 8.597 9.569
5.655 8.369 15.680
4.865 3.185 15.680
2.925 6.955 11.337
2.925 6.955 20.023
4.089 3.413 9.569
6.432 8.597 0.884
0.582 1.771 11.337
4.089 3.413 0.884
2.149 7.183 5.227

=====

> excess energy over the best structure of this formula in the dataset of number 2 (Ba3Sr3Tl2)?

0.00 eV per formula unit

=====

> What is the excess energy over the best structure of this formula in the dataset in the second record?

0.00 eV per formula unit